Density functional theory data (GGA-PBE) for crystalline Ho2ErTm3 at its relaxed geometry.

Cell lengths 10.947, 10.947, 11.057 Å; angles 120.33, 120.33, 18.81 degrees
Sites, in units of the cell vectors:
Ho (0.055, 0.055, 0.181)
Ho (0.277, 0.277, 0.653)
Ho (0.723, 0.723, 0.347)
Ho (0.945, 0.945, 0.819)
Er (0.388, 0.388, 0.014)
Er (0.612, 0.612, 0.986)
Tm (0.056, 0.056, 0.680)
Tm (0.278, 0.278, 0.153)
Tm (0.389, 0.389, 0.513)
Tm (0.611, 0.611, 0.487)
Tm (0.722, 0.722, 0.847)
Tm (0.944, 0.944, 0.320)

Summary:
- Crystal system: monoclinic
- Energy above the lowest structure with this stoichiometry: 0.0 meV/atom
- ΔE_f: -0.002 eV/atom
- SG: C2/m, No. 12

---

Density functional theory data (GGA-PBE) for crystalline Pm3YHo3 at its relaxed geometry.

Cell lengths 14.839, 14.839, 14.839 Å; angles 24.17, 24.17, 24.17 degrees
Sites, in units of the cell vectors:
Pm (0.131, 0.462, 0.800)
Pm (0.200, 0.869, 0.538)
Pm (0.462, 0.800, 0.131)
Pm (0.538, 0.200, 0.869)
Pm (0.800, 0.131, 0.462)
Pm (0.869, 0.538, 0.200)
Y (0.333, 0.333, 0.333)
Y (0.667, 0.667, 0.667)
Ho (0.065, 0.732, 0.399)
Ho (0.268, 0.601, 0.935)
Ho (0.399, 0.065, 0.732)
Ho (0.601, 0.935, 0.268)
Ho (0.732, 0.399, 0.065)
Ho (0.935, 0.268, 0.601)

Summary:
- Crystal system: trigonal
- Energy above the lowest structure with this stoichiometry: 0.0 meV/atom
- ΔE_f: 0.163 eV/atom
- SG: R-3, No. 148

---

Density functional theory data (GGA-PBE) for crystalline BeHgPt3 at its relaxed geometry.

Cell lengths 5.725, 5.725, 11.228 Å; angles 117.83, 117.83, 28.92 degrees
Sites, in units of the cell vectors:
Be (0.091, 0.091, 0.470)
Be (0.909, 0.909, 0.530)
Hg (0.395, 0.395, 0.105)
Hg (0.605, 0.605, 0.895)
Pt (0.139, 0.139, 0.131)
Pt (0.319, 0.319, 0.635)
Pt (0.404, 0.404, 0.356)
Pt (0.596, 0.596, 0.644)
Pt (0.681, 0.681, 0.365)
Pt (0.861, 0.861, 0.869)

Summary:
- Crystal system: monoclinic
- Energy above the lowest structure with this stoichiometry: 39.4 meV/atom
- ΔE_f: -0.265 eV/atom
- SG: C2/m, No. 12

---

Density functional theory data (GGA-PBE) for crystalline Tm3TlP at its relaxed geometry.

Cell lengths 5.163, 5.163, 5.163 Å; angles 90.00, 90.00, 90.00 degrees
Sites, in units of the cell vectors:
Tm (0.000, 0.000, 0.500)
Tm (0.000, 0.500, 0.000)
Tm (0.500, 0.000, 0.000)
Tl (0.500, 0.500, 0.500)
P (0.000, 0.000, 0.000)

Summary:
- Crystal system: cubic
- Energy above the lowest structure with this stoichiometry: 145.1 meV/atom
- ΔE_f: -0.642 eV/atom
- SG: Pm-3m, No. 221

---

Density functional theory data (GGA-PBE) for crystalline IrRuCl2 at its relaxed geometry.

Cell lengths 2.842, 4.159, 5.346 Å; angles 90.00, 90.00, 90.00 degrees
Sites, in units of the cell vectors:
Ir (0.000, 0.000, 0.000)
Ru (0.500, 0.000, 0.500)
Cl (0.000, 0.500, 0.500)
Cl (0.500, 0.500, 0.000)

Summary:
- Crystal system: orthorhombic
- Energy above the lowest structure with this stoichiometry: 737.9 meV/atom
- ΔE_f (raw): 302.3 kJ/mol of formula units
- SG: Pmmm, No. 47

---

Density functional theory data (GGA-PBE) for crystalline ErGaIr2 at its relaxed geometry.

Cell lengths 3.275, 3.275, 6.309 Å; angles 90.00, 90.00, 90.00 degrees
Sites, in units of the cell vectors:
Er (0.000, 0.000, 0.000)
Ga (0.000, 0.000, 0.500)
Ir (0.500, 0.500, 0.278)
Ir (0.500, 0.500, 0.722)

Summary:
- Crystal system: tetragonal
- ΔE_f: -0.603 eV/atom
- SG: P4/mmm, No. 123

---

Density functional theory data (GGA-PBE) for crystalline Li2NbBiRh at its relaxed geometry.

Cell lengths 4.550, 4.550, 4.893 Å; angles 90.00, 90.00, 90.00 degrees
Sites, in units of the cell vectors:
Li (0.000, 0.500, 0.000)
Li (0.500, 0.000, 0.000)
Nb (0.000, 0.000, 0.500)
Bi (0.500, 0.500, 0.500)
Rh (0.000, 0.000, 0.000)

Summary:
- Crystal system: tetragonal
- Energy above the lowest structure with this stoichiometry: 0.0 meV/atom
- ΔE_f: 0.265 eV/atom
- SG: P4/mmm, No. 123

---

Density functional theory data (GGA-PBE) for crystalline Ca2Sm3DySe6 at its relaxed geometry.

Cell lengths 7.165, 7.165, 7.283 Å; angles 99.45, 99.45, 120.06 degrees
Sites, in units of the cell vectors:
Ca (0.167, 0.833, 0.000)
Ca (0.833, 0.167, 0.000)
Sm (0.000, 0.000, 0.500)
Sm (0.329, 0.671, 0.500)
Sm (0.671, 0.329, 0.500)
Dy (0.500, 0.500, 0.000)
Se (0.089, 0.419, 0.758)
Se (0.252, 0.252, 0.248)
Se (0.419, 0.089, 0.758)
Se (0.581, 0.911, 0.242)
Se (0.748, 0.748, 0.752)
Se (0.911, 0.581, 0.242)

Summary:
- Crystal system: monoclinic
- ΔE_f (raw): -2152.0 kJ/mol of formula units
- SG: C2/m, No. 12

---

Q: Which spin magnetization values were calculated for the entries above? A: 0.00 0.00 0.00 0.00 0.00 0.00 0.00 0.00, in Bohr magnetons per cell.